Entry from Alexandria via LeMat-Bulk: MgIn2Co at its PBEsol-relaxed geometry (meta-GGA SCAN).

E   -22.201 eV per atom
Total moment   0.065 μB/atom

Lattice parameters (Å, degrees): 6.832 6.832 6.832 155.46 143.42 44.54
Atoms (fractional coordinates):
Mg 0.000 0.000 0.000
In 0.357 0.357 0.000
In 0.673 0.173 0.500
Co 0.179 0.679 0.500